Compound: Np2MnSi4Ni3
Source: Alexandria via LeMat-Bulk
Functional: PBE
Structure: relaxed

```
data_Np2MnSi4Ni3
_chemical_formula_sum 'Np2 Mn1 Si4 Ni3'
_symmetry_space_group_name_H-M 'P -4 m 2'
_symmetry_Int_Tables_number 115
_cell_length_a 3.977
_cell_length_b 3.977
_cell_length_c 9.452
_cell_angle_alpha 90.00
_cell_angle_beta 90.00
_cell_angle_gamma 90.00
loop_
_symmetry_equiv_pos_as_xyz
'x,y,z'
'y,-x,-z'
'-x,-y,z'
'-y,x,-z'
'-x,y,z'
'-y,-x,-z'
'x,-y,z'
'y,x,-z'
loop_
_atom_site_label
_atom_site_fract_x
_atom_site_fract_y
_atom_site_fract_z
Np1 0.000 0.500 0.248
Mn1 0.500 0.500 0.000
Si1 0.000 0.000 0.500
Si2 0.000 0.500 0.866
Si3 0.500 0.500 0.500
Ni1 0.000 0.000 0.000
Ni2 0.000 0.500 0.623
```

DOS at the Fermi energy: 2.105 states/eV/atom
raw formation energy: -0.4839 eV/atom
magnetic moment: 6.05 μB per formula unit
E_tot: -78.93 eV for the cell shown